Record 1
TaBe4Ir | GGA-PBEsol | relaxed

Cell and atoms, written as POSCAR:
```
TaBe4Ir
1.0
0.000 3.130 3.130
3.130 0.000 3.130
3.130 3.130 0.000
Ta Be Ir
1 4 1
Direct
0.000 0.000 0.000
0.373 0.373 0.373
0.373 0.373 0.881
0.373 0.881 0.373
0.881 0.373 0.373
0.750 0.750 0.750
```

E (eV/f.u.): -40.8
Symmetry: No. 216

=====

Record 2
TaBe2Ir2 | GGA-PBEsol | relaxed

Cell and atoms, written as POSCAR:
```
TaBe2Ir2
1.0
6.676 0.000 0.000
0.000 6.676 0.000
0.000 0.000 2.749
Ta Be Ir
2 4 4
Direct
0.000 0.000 0.000
0.500 0.500 0.000
0.114 0.386 0.000
0.386 0.886 0.000
0.614 0.114 0.000
0.886 0.614 0.000
0.179 0.679 0.500
0.321 0.179 0.500
0.679 0.821 0.500
0.821 0.321 0.500
```

E (eV/f.u.): -42.9
Symmetry: No. 127

=====

Record 3
TaBeIr2 | GGA-PBEsol | relaxed

Cell and atoms, written as POSCAR:
```
TaBeIr2
1.0
2.858 0.000 0.000
0.000 3.358 0.000
0.000 0.000 5.704
Ta Be Ir
1 1 2
Direct
0.000 0.000 0.000
0.000 0.000 0.500
0.500 0.500 0.271
0.500 0.500 0.729
```

E (eV/f.u.): -38.3
Symmetry: No. 47

=====

Record 4
TaBeIr2 | GGA-PBEsol | relaxed

Cell and atoms, written as POSCAR:
```
TaBeIr2
1.0
2.849 0.000 0.000
0.000 2.849 0.000
0.000 0.000 6.520
Ta Be Ir
1 1 2
Direct
0.000 0.000 0.000
0.000 0.000 0.500
0.500 0.500 0.287
0.500 0.500 0.713
```

E (eV/f.u.): -38.6
Symmetry: No. 123

=====

Size of the total moment
In order: 0.00, 0.00, 0.00, 0.00
Unit: μB/f.u.
Density of states at the Fermi level
In order: 0.514, 0.748, 0.393, 0.554
Unit: states/eV per atom
Energy of formation from the pure elements
In order: -0.40, -0.54, -0.54, -0.61
Unit: eV per atom